# Zn2NiOs (GGA-PBE, optimized geometry)
data_Zn2NiOs
_cell_length_a 3.7499
_cell_length_b 3.7499
_cell_length_c 7.5470
_cell_angle_alpha 90.00
_cell_angle_beta 90.00
_cell_angle_gamma 90.00
_symmetry_space_group_name_H-M 'I 4/m m m'
_symmetry_Int_Tables_number 139
_symmetry_space_group_name_Hall '-I 4 2'
loop_
_atom_site_label
_atom_site_type_symbol
_atom_site_fract_x
_atom_site_fract_y
_atom_site_fract_z
_atom_site_occupancy
Zn1 Zn 0.0000 0.5000 0.2500 1
Ni1 Ni 0.0000 0.0000 0.0000 1
Os1 Os 0.0000 0.0000 0.5000 1
# Calculated volume: 13.27 Å³ per atom
# DFT total energy: -4.73 eV per atom
# Magnetic moment: 0.444 μB/f.u.

# TlPt2Se2 (GGA-PBE, optimized geometry)
data_TlPt2Se2
_cell_length_a 8.2410
_cell_length_b 8.2410
_cell_length_c 3.0495
_cell_angle_alpha 90.00
_cell_angle_beta 90.00
_cell_angle_gamma 90.00
_symmetry_space_group_name_H-M 'P 4/m b m'
_symmetry_Int_Tables_number 127
_symmetry_space_group_name_Hall '-P 4 2ab'
loop_
_atom_site_label
_atom_site_type_symbol
_atom_site_fract_x
_atom_site_fract_y
_atom_site_fract_z
_atom_site_occupancy
Tl1 Tl 0.0000 0.0000 0.0000 1
Pt1 Pt 0.1875 0.3125 0.5000 1
Se1 Se 0.1405 0.6405 0.0000 1
# Calculated volume: 20.71 Å³ per atom
# DFT total energy: -4.11 eV per atom
# Magnetic moment: 0.000 μB/f.u.

# Li4Fe (GGA-PBE, optimized geometry)
data_Li4Fe
_cell_length_a 4.8990
_cell_length_b 4.8990
_cell_length_c 4.8990
_cell_angle_alpha 90.00
_cell_angle_beta 90.00
_cell_angle_gamma 90.00
_symmetry_space_group_name_H-M 'P m -3 m'
_symmetry_Int_Tables_number 221
_symmetry_space_group_name_Hall '-P 4 2 3'
loop_
_atom_site_label
_atom_site_type_symbol
_atom_site_fract_x
_atom_site_fract_y
_atom_site_fract_z
_atom_site_occupancy
Li1 Li 0.0000 0.0000 0.0000 1
Li2 Li 0.0000 0.5000 0.5000 1
Fe1 Fe 0.5000 0.5000 0.5000 1
# E above lowest polymorph: 150 meV/atom
# Calculated volume: 23.52 Å³ per atom
# Magnetic moment: 2.593 μB/f.u.

# HgTe2 (GGA-PBE, optimized geometry)
data_HgTe2
_cell_length_a 7.3019
_cell_length_b 7.3019
_cell_length_c 7.3019
_cell_angle_alpha 90.00
_cell_angle_beta 90.00
_cell_angle_gamma 90.00
_symmetry_space_group_name_H-M 'F m -3 m'
_symmetry_Int_Tables_number 225
_symmetry_space_group_name_Hall '-F 4 2 3'
loop_
_atom_site_label
_atom_site_type_symbol
_atom_site_fract_x
_atom_site_fract_y
_atom_site_fract_z
_atom_site_occupancy
Hg1 Hg 0.0000 0.0000 0.0000 1
Te1 Te 0.2500 0.2500 0.2500 1
# E above lowest polymorph: 328 meV/atom
# Calculated volume: 32.44 Å³ per atom
# Magnetic moment: 0.000 μB/f.u.

# ZrBeIr (GGA-PBE, optimized geometry)
data_ZrBeIr
_cell_length_a 11.7013
_cell_length_b 3.3615
_cell_length_c 6.7051
_cell_angle_alpha 90.00
_cell_angle_beta 90.00
_cell_angle_gamma 90.00
_symmetry_space_group_name_H-M 'P m m a'
_symmetry_Int_Tables_number 51
loop_
_symmetry_equiv_pos_as_xyz
'x,y,z'
'-x,-y,-z'
'-x+1/2,-y,z'
'x+1/2,y,-z'
'x+1/2,-y,-z'
'-x+1/2,y,z'
'-x,y,-z'
'x,-y,z'
loop_
_atom_site_label
_atom_site_type_symbol
_atom_site_fract_x
_atom_site_fract_y
_atom_site_fract_z
_atom_site_occupancy
Zr1 Zr 0.0449 0.0000 0.2483 1
Zr2 Zr 0.2500 0.0000 0.8541 1
Be1 Be 0.0887 0.5000 0.9485 1
Be2 Be 0.2500 0.0000 0.4466 1
Ir1 Ir 0.1268 0.5000 0.5750 1
Ir2 Ir 0.2500 0.5000 0.1982 1
# E above lowest polymorph: 0 meV/atom
# Calculated volume: 14.65 Å³ per atom
# Magnetic moment: 0.000 μB/f.u.

# Cs2DyNp2S6 (GGA-PBE, optimized geometry)
data_Cs2DyNp2S6
_cell_length_a 7.0118
_cell_length_b 12.1584
_cell_length_c 8.5493
_cell_angle_alpha 90.00
_cell_angle_beta 105.59
_cell_angle_gamma 90.00
_symmetry_space_group_name_H-M 'C 1 2/m 1'
_symmetry_Int_Tables_number 12
loop_
_symmetry_equiv_pos_as_xyz
'x,y,z'
'-x,-y,-z'
'-x,y,-z'
'x,-y,z'
'x+1/2,y+1/2,z'
'-x+1/2,-y+1/2,-z'
'-x+1/2,y+1/2,-z'
'x+1/2,-y+1/2,z'
loop_
_atom_site_label
_atom_site_type_symbol
_atom_site_fract_x
_atom_site_fract_y
_atom_site_fract_z
_atom_site_occupancy
Cs1 Cs 0.0000 0.1655 0.0000 1
Dy1 Dy 0.0000 0.0000 0.5000 1
Np1 Np 0.0000 0.3339 0.5000 1
S1 S 0.2221 0.5000 0.6754 1
S2 S 0.2251 0.1691 0.6750 1
# Calculated volume: 31.91 Å³ per atom
# DFT total energy: -6.74 eV per atom
# Magnetic moment: 7.000 μB/f.u.

# TbScRu4 (GGA-PBE, optimized geometry)
data_TbScRu4
_cell_length_a 7.4553
_cell_length_b 7.4553
_cell_length_c 7.4553
_cell_angle_alpha 90.00
_cell_angle_beta 90.00
_cell_angle_gamma 90.00
_symmetry_space_group_name_H-M 'F -4 3 m'
_symmetry_Int_Tables_number 216
_symmetry_space_group_name_Hall 'F -4 2 3'
loop_
_atom_site_label
_atom_site_type_symbol
_atom_site_fract_x
_atom_site_fract_y
_atom_site_fract_z
_atom_site_occupancy
Tb1 Tb 0.0000 0.0000 0.0000 1
Sc1 Sc 0.2500 0.2500 0.7500 1
Ru1 Ru 0.1247 0.1247 0.3753 1
# Calculated volume: 17.27 Å³ per atom
# DFT total energy: -8.32 eV per atom
# Magnetic moment: 0.001 μB/f.u.

# PmTm2Rh (GGA-PBE, optimized geometry)
data_PmTm2Rh
_cell_length_a 3.4567
_cell_length_b 3.4567
_cell_length_c 8.6472
_cell_angle_alpha 90.00
_cell_angle_beta 90.00
_cell_angle_gamma 90.00
_symmetry_space_group_name_H-M 'P 4/m m m'
_symmetry_Int_Tables_number 123
_symmetry_space_group_name_Hall '-P 4 2'
loop_
_atom_site_label
_atom_site_type_symbol
_atom_site_fract_x
_atom_site_fract_y
_atom_site_fract_z
_atom_site_occupancy
Pm1 Pm 0.0000 0.0000 0.0000 1
Tm1 Tm 0.5000 0.5000 0.3135 1
Rh1 Rh 0.0000 0.0000 0.5000 1
# E above lowest polymorph: 64 meV/atom
# Calculated volume: 25.83 Å³ per atom
# Magnetic moment: 0.000 μB/f.u.